TmScSbO2 after structural relaxation, computed with GGA-PBE.

Structure (CIF):
```
data_TmScSbO2
_chemical_formula_sum 'Tm2 Sc2 Sb2 O4'
_cell_length_a 3.727
_cell_length_b 3.727
_cell_length_c 12.916
_cell_angle_alpha 90.00
_cell_angle_beta 90.00
_cell_angle_gamma 90.00
_symmetry_space_group_name_H-M 'I 4 m m'
_symmetry_Int_Tables_number 107
_symmetry_space_group_name_Hall 'I 4 -2'
loop_
_atom_site_label
_atom_site_fract_x
_atom_site_fract_y
_atom_site_fract_z
Tm1 0.000 0.000 0.000
Sc1 0.000 0.000 0.662
Sb1 0.000 0.000 0.331
O1 0.000 0.500 0.088
```

For the magnetic moment, the calculation gives 0.0 μB per formula unit. The formation energy from raw total energies is -2.642 eV/atom.

---

Y4Tc6O19 after structural relaxation, computed with GGA-PBE.

Structure (CIF):
```
data_Y4Tc6O19
_chemical_formula_sum 'Y8 Tc12 O38'
_cell_length_a 8.985
_cell_length_b 8.985
_cell_length_c 8.985
_cell_angle_alpha 90.00
_cell_angle_beta 90.00
_cell_angle_gamma 90.00
_symmetry_space_group_name_H-M 'I 2 3'
_symmetry_Int_Tables_number 197
_symmetry_space_group_name_Hall 'I 2 2 3'
loop_
_atom_site_label
_atom_site_fract_x
_atom_site_fract_y
_atom_site_fract_z
Y1 0.147 0.147 0.853
Tc1 0.000 0.366 0.500
O1 0.000 0.000 0.000
O2 0.000 0.000 0.317
O3 0.025 0.339 0.718
```

For the magnetic moment, the calculation gives 0.0 μB per formula unit. The formation energy from raw total energies is -2.103 eV/atom.

---

LaNd2Cu9 after structural relaxation, computed with GGA-PBE.

Structure (CIF):
```
data_LaNd2Cu9
_chemical_formula_sum 'La2 Nd4 Cu18'
_cell_length_a 5.3284
_cell_length_b 5.3284
_cell_length_c 16.6631
_cell_angle_alpha 90.00
_cell_angle_beta 90.00
_cell_angle_gamma 120.00
_symmetry_space_group_name_H-M 'P 63/m m c'
_symmetry_Int_Tables_number 194
_symmetry_space_group_name_Hall '-P 6c 2c'
loop_
_atom_site_label
_atom_site_fract_x
_atom_site_fract_y
_atom_site_fract_z
La1 0.3333 0.6667 0.2500
Nd1 0.3333 0.6667 0.0326
Cu1 0.0000 0.0000 0.0000
Cu2 0.0000 0.0000 0.2500
Cu3 0.1653 0.3305 0.6284
Cu4 0.3333 0.6667 0.7500
```

The formation energy is -0.13 eV/atom. For the magnetic moment, the calculation gives 0.0 μB per formula unit. Its energy above the lowest structure with this stoichiometry is 0.10 eV per formula unit.